A plane-wave DFT calculation with PBEsol was carried out for an optimized crystal structure of CrN.

Energy in hartree per atom: -0.3662
SG: No. 216
D(E_F) in states/eV/cell: 1.7
E_form (uncorrected) in eV per atom: -0.582

a = 3.0617 Å, b = 3.0617 Å, c = 3.0617 Å
α = 60.00°, β = 60.00°, γ = 60.00°
Last column: nearest neighbours and their distance in Å.
Fractional positions:
Cr (0.7500, 0.7500, 0.7500)  4 N 1.87
N (0.0000, 0.0000, 0.0000)  4 Cr 1.87

***

A plane-wave DFT calculation with PBEsol was carried out for an optimized crystal structure of La2CrAs.

Energy in hartree per atom: -0.2431
SG: No. 99
D(E_F) in states/eV/cell: 4.4

a = 3.2828 Å, b = 3.2828 Å, c = 8.6321 Å
α = 90.00°, β = 90.00°, γ = 90.00°
Last column: nearest neighbours and their distance in Å.
Fractional positions:
As (0.0000, 0.0000, 0.5678)  4 Cr 2.53
Cr (0.5000, 0.5000, 0.6830)  4 As 2.53
La (0.0000, 0.0000, 0.9286)  1 As 3.11, 4 Cr 3.14, 4 La 3.28
La (0.5000, 0.5000, 0.3205)  1 Cr 3.13, 4 As 3.15, 4 La 3.28

***

A plane-wave DFT calculation with PBEsol was carried out for an optimized crystal structure of Os3PdS.

Energy in hartree per atom: -0.3023
SG: No. 221
D(E_F) in states/eV/cell: 7.4
E_form (uncorrected) in eV per atom: 1.173

a = 4.2746 Å, b = 4.2746 Å, c = 4.2746 Å
α = 90.00°, β = 90.00°, γ = 90.00°
Last column: nearest neighbours and their distance in Å.
Fractional positions:
S (0.0000, 0.0000, 0.0000)  6 Os 2.14
Os (0.0000, 0.5000, 0.0000)  2 S 2.14
Os (0.0000, 0.0000, 0.5000)  2 S 2.14
Os (0.5000, 0.0000, 0.0000)  2 S 2.14
Pd (0.5000, 0.5000, 0.5000)  12 Os 3.02

***

> D(E_F) of number 3 (Os3PdS)?

7.4 states/eV/cell

***

> Look up the D(E_F) of the first one.

1.7 states/eV/cell